# 1
Density functional theory data (PBE) for Sr2BePbO5 after structural relaxation.

```
data_Sr2BePbO5
_chemical_formula_sum 'Sr8 Be4 Pb4 O20'
_cell_length_a 3.3704
_cell_length_b 14.0059
_cell_length_c 10.8491
_cell_angle_alpha 90.00
_cell_angle_beta 90.00
_cell_angle_gamma 90.00
_symmetry_space_group_name_H-M 'C m c 21'
_symmetry_Int_Tables_number 36
_symmetry_space_group_name_Hall 'C 2c -2'
loop_
_atom_site_label
_atom_site_type_symbol
_atom_site_fract_x
_atom_site_fract_y
_atom_site_fract_z
Sr1 Sr 0.0000 0.0977 0.0000
Sr2 Sr 0.0000 0.1283 0.6637
Be1 Be 0.0000 0.4443 0.7377
Pb1 Pb 0.0000 0.1938 0.3596
O1 O 0.0000 0.0404 0.3180
O2 O 0.0000 0.2948 0.9979
O3 O 0.0000 0.3258 0.7202
O4 O 0.0000 0.3449 0.3384
O5 O 0.0000 0.4986 0.1156
```

Properties
Spin magnetization   0.14 μB/cell
Total DFT energy (no corrections)   -6.07 eV per atom
ΔE_f (raw)   -2.12 eV per atom

***

# 2
Density functional theory data (PBE) for TbThNi after structural relaxation.

```
data_TbThNi
_chemical_formula_sum 'Tb1 Th1 Ni1'
_cell_length_a 3.7601
_cell_length_b 3.7601
_cell_length_c 6.4247
_cell_angle_alpha 90.00
_cell_angle_beta 90.00
_cell_angle_gamma 120.00
_symmetry_space_group_name_H-M 'P 3 m 1'
_symmetry_Int_Tables_number 156
_symmetry_space_group_name_Hall 'P 3 -2"'
loop_
_atom_site_label
_atom_site_type_symbol
_atom_site_fract_x
_atom_site_fract_y
_atom_site_fract_z
Tb1 Tb 0.0000 0.0000 0.0000
Th1 Th 0.3333 0.6667 0.5362
Ni1 Ni 0.6667 0.3333 0.2750
```

Properties
Spin magnetization   0.00 μB/cell
Total DFT energy (no corrections)   -6.08 eV per atom
Density of states at the Fermi level   3.18 states/eV per cell

***

# 3
Density functional theory data (PBE) for Th2Be4SiPt3 after structural relaxation.

```
data_Th2Be4SiPt3
_chemical_formula_sum 'Th2 Be4 Si1 Pt3'
_cell_length_a 4.0757
_cell_length_b 4.0757
_cell_length_c 9.6838
_cell_angle_alpha 90.00
_cell_angle_beta 90.00
_cell_angle_gamma 90.00
_symmetry_space_group_name_H-M 'P -4 m 2'
_symmetry_Int_Tables_number 115
_symmetry_space_group_name_Hall 'P -4 -2'
loop_
_atom_site_label
_atom_site_type_symbol
_atom_site_fract_x
_atom_site_fract_y
_atom_site_fract_z
Th1 Th 0.0000 0.5000 0.2503
Be1 Be 0.0000 0.0000 0.0000
Be2 Be 0.0000 0.5000 0.6297
Be3 Be 0.5000 0.5000 0.0000
Si1 Si 0.0000 0.0000 0.5000
Pt1 Pt 0.0000 0.5000 0.8773
Pt2 Pt 0.5000 0.5000 0.5000
```

Properties
Spin magnetization   0.00 μB/cell
Total DFT energy (no corrections)   -6.08 eV per atom
ΔE_f (raw)   -0.76 eV per atom
Density of states at the Fermi level   8.04 states/eV per cell